Record 1
DFT (PBE) results for NbGa2Bi after structural relaxation.

abc: 7.8277 7.8277 6.2469
angles: 51.21 51.21 90.00
Last column: nearest neighbours and their distance in Å.
Atoms (fractional coordinates):
Ga 0.1531 0.6250 0.2500  2 Nb 2.72, 2 Ga 2.93, 2 Bi 3.02
Nb 0.5000 0.5000 0.0000  4 Ga 2.72, 2 Bi 2.90
Ga 0.5969 0.1250 0.2500  2 Nb 2.72, 2 Ga 2.93, 2 Bi 3.02
Nb 0.2500 0.7500 0.5000  4 Ga 2.72, 2 Bi 2.90
Ga 0.8750 0.8469 0.7500  2 Nb 2.72, 2 Ga 2.93, 2 Bi 3.02
Bi 0.7500 0.2500 0.5000  2 Nb 2.90, 4 Ga 3.02
Ga 0.3750 0.4031 0.7500  2 Nb 2.72, 2 Ga 2.93, 2 Bi 3.02
Bi 0.0000 0.0000 0.0000  2 Nb 2.90, 4 Ga 3.02

Properties
Crystal system = tetragonal
Calculated formation energy = 389 meV per atom
Magnetization = 0.0 μB per formula unit

=====

Record 2
DFT (PBE) results for BaCdO2F after structural relaxation.

abc: 4.2765 4.2765 4.5585
angles: 90.00 90.00 90.00
Last column: nearest neighbours and their distance in Å.
Atoms (fractional coordinates):
F 0.0000 0.0000 0.5000  2 Cd 2.28
O 0.0000 0.5000 0.0000  2 Cd 2.14
O 0.5000 0.0000 0.0000  2 Cd 2.14
Ba 0.5000 0.5000 0.5000  4 F 3.02, 8 O 3.13
Cd 0.0000 0.0000 0.0000  4 O 2.14, 2 F 2.28

Properties
Crystal system = tetragonal
E_form (uncorrected) = -178.51 kJ/mol of atoms
Magnetization = 0.0 μB per formula unit

=====

- Which value of magnetization does entry 2 give?
  0.0 μB per formula unit

=====

- magnetization of number 2 (BaCdO2F)?
  0.0 μB per formula unit